[1]
This record from the Alexandria database describes crystalline Ta2FeMoPt at its relaxed geometry. The functional is PBE-GGA.

It has space group P4/mmm (No. 123), with a = 4.756 Å, b = 4.756 Å, c = 4.782 Å, α = 90.00°, β = 90.00° and γ = 90.00°. The inequivalent atoms are Ta at (0.000, 0.500, 0.000), Fe at (0.000, 0.000, 0.500), Mo at (0.500, 0.500, 0.000) and Pt at (0.500, 0.500, 0.500).

The calculation puts the energy at -8.00 eV/atom. The calculation puts the density of states at the Fermi level at 6.269 states/eV/cell. The calculated volume is 108 Å³/cell.



[2]
This record from the Alexandria database describes crystalline VFeMoPt at its relaxed geometry. The functional is PBE-GGA.

It has space group F-43m (No. 216), with a = 6.089 Å, b = 6.089 Å, c = 6.089 Å, α = 90.00°, β = 90.00° and γ = 90.00°. The inequivalent atoms are V at (0.000, 0.000, 0.000), Fe at (0.000, 0.000, 0.500), Mo at (0.250, 0.250, 0.250) and Pt at (0.250, 0.250, 0.750).

The calculation puts the energy at -8.73 eV/atom. The calculation puts the density of states at the Fermi level at 18.001 states/eV/cell. The calculated volume is 226 Å³/cell.



[3]
This record from the Alexandria database describes crystalline PuFeTcMo at its relaxed geometry. The functional is PBE-GGA.

It has space group F-43m (No. 216), with a = 6.380 Å, b = 6.380 Å, c = 6.380 Å, α = 90.00°, β = 90.00° and γ = 90.00°. The inequivalent atoms are Pu at (0.000, 0.000, 0.000), Fe at (0.250, 0.250, 0.750), Tc at (0.250, 0.250, 0.250) and Mo at (0.000, 0.000, 0.500).

The calculation puts the energy at -10.80 eV/atom. The calculation puts the density of states at the Fermi level at 25.614 states/eV/cell. The calculated volume is 260 Å³/cell.



[4]
This record from the Alexandria database describes crystalline Rb2FeMo at its relaxed geometry. The functional is PBE-GGA.

It has space group Fm-3m (No. 225), with a = 8.642 Å, b = 8.642 Å, c = 8.642 Å, α = 90.00°, β = 90.00° and γ = 90.00°. The inequivalent atoms are Rb at (0.250, 0.250, 0.250), Fe at (0.000, 0.000, 0.000) and Mo at (0.000, 0.000, 0.500).

The calculation puts the energy at -3.36 eV/atom. Its energy relative to the lowest polymorph listed for this composition is 0.554 eV/atom. The calculation puts the density of states at the Fermi level at 4.453 states/eV/cell. The calculated volume is 645 Å³/cell.



[5]
This record from the Alexandria database describes crystalline Rb2FeMo at its relaxed geometry. The functional is PBE-GGA.

It has space group I-42d (No. 122), with a = 13.459 Å, b = 13.459 Å, c = 4.515 Å, α = 90.00°, β = 90.00° and γ = 90.00°. The inequivalent atoms are Rb at (0.068, 0.750, 0.125), Fe at (0.000, 0.000, 0.000) and Mo at (0.000, 0.000, 0.500).

The calculation puts the energy at -3.92 eV/atom. Its energy relative to the lowest polymorph listed for this composition is 0.000 eV/atom. The calculation puts the density of states at the Fermi level at 22.839 states/eV/cell. The calculated volume is 818 Å³/cell.



[6]
This record from the Alexandria database describes crystalline RbFeMo2 at its relaxed geometry. The functional is PBE-GGA.

It has space group I-42d (No. 122), with a = 5.096 Å, b = 5.096 Å, c = 16.070 Å, α = 90.00°, β = 90.00° and γ = 90.00°. The inequivalent atoms are Rb at (0.000, 0.000, 0.000), Fe at (0.000, 0.000, 0.500) and Mo at (0.019, 0.750, 0.625).

The calculation puts the energy at -5.96 eV/atom. Its energy relative to the lowest polymorph listed for this composition is 0.000 eV/atom. The calculation puts the density of states at the Fermi level at 17.822 states/eV/cell. The calculated volume is 417 Å³/cell.



[7]
This record from the Alexandria database describes crystalline RbFe3Mo at its relaxed geometry. The functional is PBE-GGA.

It has space group Pm-3m (No. 221), with a = 4.588 Å, b = 4.588 Å, c = 4.588 Å, α = 90.00°, β = 90.00° and γ = 90.00°. The inequivalent atoms are Rb at (0.000, 0.000, 0.000), Fe at (0.000, 0.000, 0.500) and Mo at (0.500, 0.500, 0.500).

The calculation puts the energy at -4.51 eV/atom. Its energy relative to the lowest polymorph listed for this composition is 1.460 eV/atom. The calculation puts the density of states at the Fermi level at 8.165 states/eV/cell. The calculated volume is 97 Å³/cell.



[8]
This record from the Alexandria database describes crystalline RbFe3Mo at its relaxed geometry. The functional is PBE-GGA.

It has space group Pm-3m (No. 221), with a = 4.802 Å, b = 4.802 Å, c = 4.802 Å, α = 90.00°, β = 90.00° and γ = 90.00°. The inequivalent atoms are Rb at (0.000, 0.000, 0.000), Fe at (0.000, 0.500, 0.500) and Mo at (0.500, 0.500, 0.500).

The calculation puts the energy at -5.97 eV/atom. Its energy relative to the lowest polymorph listed for this composition is 0.000 eV/atom. The calculation puts the density of states at the Fermi level at 5.713 states/eV/cell. The calculated volume is 111 Å³/cell.



| no. | formation energy from the elements (eV/atom) | total moment (μB/atom) |
| --- | --- | --- |
| 1 | 1.811 | 0.02 |
| 2 | -0.112 | 0.79 |
| 3 | 0.199 | 0.65 |
| 4 | 1.945 | 2.04 |
| 5 | 1.392 | 0.20 |
| 6 | 1.810 | 0.11 |
| 7 | 2.929 | 2.18 |
| 8 | 1.468 | 1.42 |